Entry from the Alexandria database: a relaxed structure of RbV2ZnS (PBE-GGA).

Cell lengths 4.6454, 4.6454, 6.3704 Å; angles 90.00, 90.00, 90.00 degrees
Fractional positions:
Rb1 0.0000 0.0000 0.0000
V1 0.0000 0.5000 0.5000
V2 0.5000 0.0000 0.5000
Zn1 0.5000 0.5000 0.0000
S1 0.0000 0.0000 0.5000

Output
Uncorrected formation energy (meV/atom): 490
DOS at the Fermi energy (states/eV/cell): 5.9
Space-group type: No. 123
Uncorrected energy (eV/atom): -4.4312
Crystal system: tetragonal
Size of the total moment (Bohr magnetons per cell): 6.81